The following is a PBE calculation of a relaxed structure of LiPu3In12, from the Alexandria database.

Cell and atoms, written as extended XYZ:
```
16
Lattice="4.6179 0.0000 0.0000 0.0000 4.6179 0.0000 0.0000 0.0000 18.7564" Properties=species:S:1:pos:R:3 pbc="T T T"
In 2.3090 2.3090 9.3782
In 0.0000 2.3090 16.5386
In 0.0000 2.3090 2.2179
In 2.3090 0.0000 2.2179
In 2.3090 0.0000 16.5386
In 2.3090 2.3090 0.0000
In 2.3090 2.3090 14.0677
In 2.3090 0.0000 7.0032
In 0.0000 2.3090 11.7532
In 2.3090 2.3090 4.6888
In 0.0000 2.3090 7.0032
In 2.3090 0.0000 11.7532
Li 0.0000 0.0000 0.0000
Pu 0.0000 0.0000 14.1543
Pu 0.0000 0.0000 4.6022
Pu 0.0000 0.0000 9.3782
```

Computed properties:
Space group ... P4/mmm (123)
Calculated total energy ... -5.051 eV/atom
DOS at the Fermi energy ... 39.77 states/eV/cell
Energy relative to the elements ... -0.191 eV/atom

=====

The following is a PBE calculation of a relaxed structure of LiPuIn, from the Alexandria database.

Cell and atoms, written as extended XYZ:
```
3
Lattice="3.2318 0.0000 0.0000 0.0000 3.2318 0.0000 -1.6159 -1.6159 6.5206" Properties=species:S:1:pos:R:3 pbc="T T T"
In 0.0000 0.0000 4.0970
Pu 0.0000 0.0000 0.0055
Li 1.6159 1.6159 2.4180
```

Computed properties:
Space group ... I4mm (107)
Calculated total energy ... -6.374 eV/atom
DOS at the Fermi energy ... 5.13 states/eV/cell
Energy relative to the elements ... -0.046 eV/atom

=====

The following is a PBE calculation of a relaxed structure of Li2PuIn, from the Alexandria database.

Cell and atoms, written as extended XYZ:
```
4
Lattice="-2.9292 -0.7013 -0.9626 -0.6447 -2.8810 -1.1327 -3.8208 -4.7779 9.9135" Properties=species:S:1:pos:R:3 pbc="T T T"
Li -4.2399 -4.4900 0.5925
Li -3.1547 -3.8702 7.2256
Pu -3.6973 -4.1801 3.9091
In 0.0000 0.0000 0.0000
```

Computed properties:
Space group ... R-3m (166)
Calculated total energy ... -5.021 eV/atom
DOS at the Fermi energy ... 9.12 states/eV/cell
Energy relative to the elements ... 0.204 eV/atom

=====

The following is a PBE calculation of a relaxed structure of LiPuIn3, from the Alexandria database.

Cell and atoms, written as extended XYZ:
```
10
Lattice="5.1598 0.0000 0.0186 0.0000 3.2334 0.0000 -2.5423 -1.6167 15.2047" Properties=species:S:1:pos:R:3 pbc="T T T"
Li 1.3316 1.6167 11.4525
Li 1.2859 0.0000 3.7708
In -1.2406 1.6167 10.1410
In 1.3288 1.6167 14.3337
In 1.3520 0.0000 8.9264
In 1.2887 0.0000 0.8896
In 3.8581 0.0000 5.0823
In 1.2655 1.6167 6.2969
Pu -1.2482 0.0000 13.1220
Pu 3.8657 1.6167 2.1013
```

Computed properties:
Space group ... C2/m (12)
Calculated total energy ... -4.968 eV/atom
DOS at the Fermi energy ... 19.35 states/eV/cell
Energy relative to the elements ... -0.076 eV/atom

=====

What is the calculated total energy in the second record? -6.374 eV/atom